Pr6NdPb PBE optimized geometry; total DFT energy (no corrections) = -4.7904 eV/atom; symmetry = P4/mmm, No. 123
1.0
5.079 0.000 0.000
0.000 5.079 0.000
0.000 0.000 10.570
Pr Nd Pb
6 1 1
Direct
0.000 0.000 0.000 Pr
0.000 0.000 0.500 Pr
0.000 0.500 0.242 Pr
0.000 0.500 0.758 Pr
0.500 0.000 0.242 Pr
0.500 0.000 0.758 Pr
0.500 0.500 0.500 Nd
0.500 0.500 0.000 Pb